No. 1
Here is crystalline Tl2FeCl5 at its relaxed geometry from Alexandria. Energies are from PBE-GGA.

Calculated values
**Formation energy from raw total energies**: -20.71 kcal/mol of atoms
**M_tot**: 0.63 μB/atom

Unit cell a=7.0446 b=7.0446 c=7.0446 alpha=116.35 beta=116.35 gamma=96.45
Last column: nearest neighbours and their distance in Å.
Sites, in units of the cell vectors:
Tl 0.0000 0.5000 0.5000  4 Cl 3.21
Tl 0.5000 0.0000 0.5000  4 Cl 3.21
Fe 0.2491 0.2491 0.0000  5 Cl 2.20-2.36
Cl 0.4132 0.4132 0.4386  1 Fe 2.36
Cl 0.4132 0.9746 0.0000  1 Fe 2.36
Cl 0.4835 0.4835 0.0000  1 Fe 2.20
Cl 0.9746 0.4132 0.0000  1 Fe 2.36
Cl 0.9746 0.9746 0.5614  1 Fe 2.36

No. 2
Here is crystalline Tl2FeCl5 at its relaxed geometry from Alexandria. Energies are from PBE-GGA.

Calculated values
**Formation energy from raw total energies**: -21.52 kcal/mol of atoms
**M_tot**: 0.62 μB/atom

Unit cell a=12.8354 b=9.4078 c=9.8635 alpha=90.00 beta=107.38 gamma=90.00
Last column: nearest neighbours and their distance in Å.
Sites, in units of the cell vectors:
Tl 0.0253 0.1251 0.2064  5 Cl 3.08-3.41
Tl 0.0253 0.3749 0.7064  5 Cl 3.08-3.41
Tl 0.3527 0.1360 0.0369  1 Cl 2.93
Tl 0.3527 0.3640 0.5369  1 Cl 2.93
Tl 0.6473 0.6360 0.4631  1 Cl 2.93
Tl 0.6473 0.8640 0.9631  1 Cl 2.93
Tl 0.9747 0.6251 0.2936  5 Cl 3.08-3.41
Tl 0.9747 0.8749 0.7936  5 Cl 3.08-3.41
Fe 0.2971 0.5766 0.0209  4 Cl 2.19-2.23
Fe 0.2971 0.9234 0.5209  4 Cl 2.19-2.23
Fe 0.7029 0.0766 0.4791  4 Cl 2.19-2.23
Fe 0.7029 0.4234 0.9791  4 Cl 2.19-2.23
Cl 0.1139 0.1308 0.9491  4 Tl 2.93-3.27
Cl 0.1139 0.3692 0.4491  4 Tl 2.93-3.27
Cl 0.1244 0.6193 0.0033  1 Fe 2.21
Cl 0.1244 0.8807 0.5033  1 Fe 2.21
Cl 0.2988 0.0639 0.3394  1 Fe 2.23
Cl 0.2988 0.4361 0.8394  1 Fe 2.23
Cl 0.3767 0.0499 0.7136  1 Fe 2.22
Cl 0.3767 0.4501 0.2136  1 Fe 2.22
Cl 0.3857 0.7252 0.5155  1 Fe 2.19
Cl 0.3857 0.7748 0.0155  1 Fe 2.19
Cl 0.6143 0.2252 0.9845  1 Fe 2.19
Cl 0.6143 0.2748 0.4845  1 Fe 2.19
Cl 0.6233 0.5499 0.7864  1 Fe 2.22
Cl 0.6233 0.9501 0.2864  1 Fe 2.22
Cl 0.7012 0.5639 0.1606  1 Fe 2.23
Cl 0.7012 0.9361 0.6606  1 Fe 2.23
Cl 0.8756 0.1193 0.4967  1 Fe 2.21
Cl 0.8756 0.3807 0.9967  1 Fe 2.21
Cl 0.8861 0.6308 0.5509  4 Tl 2.93-3.27
Cl 0.8861 0.8692 0.0509  4 Tl 2.93-3.27

No. 3
Here is crystalline Tl2FeCl at its relaxed geometry from Alexandria. Energies are from PBE-GGA.

Calculated values
**Formation energy from raw total energies**: 7.63 kcal/mol of atoms
**M_tot**: 0.74 μB/atom

Unit cell a=5.2354 b=5.2354 c=5.2354 alpha=60.00 beta=60.00 gamma=60.00
Last column: nearest neighbours and their distance in Å.
Sites, in units of the cell vectors:
Tl 0.2500 0.2500 0.2500  4 Cl 3.21, 4 Fe 3.21
Tl 0.7500 0.7500 0.7500  4 Cl 3.21, 4 Fe 3.21
Fe 0.0000 0.0000 0.0000  8 Tl 3.21
Cl 0.5000 0.5000 0.5000  8 Tl 3.21

No. 4
Here is crystalline TlFe4Cl at its relaxed geometry from Alexandria. Energies are from PBE-GGA.

Calculated values
**Formation energy from raw total energies**: 11.67 kcal/mol of atoms
**M_tot**: 1.96 μB/atom

Unit cell a=5.1546 b=5.1546 c=5.1546 alpha=60.00 beta=60.00 gamma=60.00
Last column: nearest neighbours and their distance in Å.
Sites, in units of the cell vectors:
Tl 0.0000 0.0000 0.0000  12 Fe 3.02, 4 Cl 3.16
Fe 0.3739 0.3739 0.3739  6 Fe 2.55-2.60
Fe 0.3739 0.3739 0.8784  6 Fe 2.55-2.60
Fe 0.3739 0.8784 0.3739  6 Fe 2.55-2.60
Fe 0.8784 0.3739 0.3739  6 Fe 2.55-2.60
Cl 0.7500 0.7500 0.7500  12 Fe 3.02, 4 Tl 3.16

No. 5
Here is crystalline Tl3Fe2Cl7 at its relaxed geometry from Alexandria. Energies are from PBE-GGA.

Calculated values
**Formation energy from raw total energies**: -19.09 kcal/mol of atoms
**M_tot**: 0.67 μB/atom

Unit cell a=13.3648 b=13.3648 c=13.3648 alpha=158.60 beta=158.60 gamma=30.44
Last column: nearest neighbours and their distance in Å.
Sites, in units of the cell vectors:
Tl 0.0000 0.0000 0.0000  12 Cl 3.48-3.51
Tl 0.1817 0.1817 0.0000  9 Cl 3.28-3.52
Tl 0.8183 0.8183 0.0000  9 Cl 3.28-3.52
Fe 0.4032 0.4032 0.0000  6 Cl 2.43-2.50
Fe 0.5968 0.5968 0.0000  6 Cl 2.43-2.50
Cl 0.0949 0.5949 0.5000  2 Fe 2.48
Cl 0.3088 0.3088 0.0000  1 Fe 2.43
Cl 0.4051 0.9051 0.5000  2 Fe 2.48
Cl 0.5000 0.5000 0.0000  2 Fe 2.50
Cl 0.5949 0.0949 0.5000  2 Fe 2.48
Cl 0.6912 0.6912 0.0000  1 Fe 2.43
Cl 0.9051 0.4051 0.5000  2 Fe 2.48

No. 6
Here is crystalline TlFe2Cl at its relaxed geometry from Alexandria. Energies are from PBE-GGA.

Calculated values
**Formation energy from raw total energies**: 13.45 kcal/mol of atoms
**M_tot**: 1.42 μB/atom

Unit cell a=2.9857 b=4.5944 c=5.2999 alpha=90.00 beta=90.00 gamma=90.00
Last column: nearest neighbours and their distance in Å.
Sites, in units of the cell vectors:
Tl 0.0000 0.0000 0.0000  4 Fe 2.74, 2 Tl 2.99, 4 Cl 3.04
Fe 0.0000 0.5000 0.5000  4 Cl 2.74, 6 Fe 2.99-3.04
Fe 0.5000 0.5000 0.0000  4 Tl 2.74, 6 Fe 2.99-3.04
Cl 0.5000 0.0000 0.5000  4 Fe 2.74, 2 Cl 2.99, 4 Tl 3.04

No. 7
Here is crystalline TlFeCl2 at its relaxed geometry from Alexandria. Energies are from PBE-GGA.

Calculated values
**Formation energy from raw total energies**: -8.83 kcal/mol of atoms
**M_tot**: 0.89 μB/atom

Unit cell a=9.1266 b=9.1266 c=9.1266 alpha=159.30 beta=159.00 gamma=29.65
Last column: nearest neighbours and their distance in Å.
Sites, in units of the cell vectors:
Tl 0.0000 0.0000 0.0000  4 Tl 3.28-3.33, 6 Cl 3.47-3.65
Fe 0.7548 0.2548 0.5000  2 Cl 2.36
Cl 0.3275 0.8275 0.5000  4 Fe 2.66
Cl 0.6588 0.6588 0.0000  2 Fe 2.36

No. 8
Here is crystalline TlFe2Cl at its relaxed geometry from Alexandria. Energies are from PBE-GGA.

Calculated values
**Formation energy from raw total energies**: 13.65 kcal/mol of atoms
**M_tot**: 1.50 μB/atom

Unit cell a=5.7817 b=5.7817 c=5.7817 alpha=106.39 beta=106.39 gamma=115.82
Last column: nearest neighbours and their distance in Å.
Sites, in units of the cell vectors:
Tl 0.0000 0.0000 0.0000  4 Fe 2.83, 2 Cl 3.07
Tl 0.7500 0.2500 0.5000  4 Fe 2.83, 2 Cl 3.07
Fe 0.1790 0.6250 0.0540  2 Cl 2.33
Fe 0.3750 0.4290 0.5540  2 Cl 2.33
Fe 0.5710 0.1250 0.9460  2 Cl 2.33
Fe 0.8750 0.8210 0.4460  2 Cl 2.33
Cl 0.2500 0.7500 0.5000  4 Fe 2.33
Cl 0.5000 0.5000 0.0000  4 Fe 2.33

No. 9
Here is crystalline Tl2FeCl at its relaxed geometry from Alexandria. Energies are from PBE-GGA.

Calculated values
**Formation energy from raw total energies**: 3.84 kcal/mol of atoms
**M_tot**: 0.73 μB/atom

Unit cell a=3.3987 b=4.9630 c=5.9684 alpha=90.00 beta=90.00 gamma=90.00
Last column: nearest neighbours and their distance in Å.
Sites, in units of the cell vectors:
Tl 0.0000 0.0000 0.0000  2 Fe 2.98, 4 Cl 3.01
Tl 0.5000 0.5000 0.5000  2 Cl 2.98, 4 Fe 3.01
Fe 0.0000 0.0000 0.5000  6 Tl 2.98-3.01
Cl 0.5000 0.5000 0.0000  6 Tl 2.98-3.01

No. 10
Here is crystalline Tl2FeCl at its relaxed geometry from Alexandria. Energies are from PBE-GGA.

Calculated values
**Formation energy from raw total energies**: 6.72 kcal/mol of atoms
**M_tot**: 0.79 μB/atom

Unit cell a=3.4026 b=4.9417 c=6.0178 alpha=90.00 beta=90.00 gamma=90.00
Last column: nearest neighbours and their distance in Å.
Sites, in units of the cell vectors:
Tl 0.0000 0.0000 0.0000  4 Cl 3.00
Tl 0.5000 0.0000 0.5000  4 Fe 3.00
Fe 0.0000 0.5000 0.5000  4 Tl 3.00
Cl 0.5000 0.5000 0.0000  4 Tl 3.00

No. 11
Here is crystalline TlFe2Cl at its relaxed geometry from Alexandria. Energies are from PBE-GGA.

Calculated values
**Formation energy from raw total energies**: 11.73 kcal/mol of atoms
**M_tot**: 1.39 μB/atom

Unit cell a=5.3840 b=5.3840 c=5.3840 alpha=148.12 beta=118.12 gamma=71.30
Last column: nearest neighbours and their distance in Å.
Sites, in units of the cell vectors:
Tl 0.0000 0.0000 0.0000  4 Fe 2.82, 2 Tl 2.96, 4 Cl 3.14
Fe 0.2740 0.7740 0.5000  2 Cl 2.47
Fe 0.7260 0.2260 0.5000  2 Cl 2.47
Cl 0.5000 0.5000 0.0000  4 Fe 2.47

No. 12
Here is crystalline TlFe2Cl at its relaxed geometry from Alexandria. Energies are from PBE-GGA.

Calculated values
**Formation energy from raw total energies**: 19.31 kcal/mol of atoms
**M_tot**: 1.47 μB/atom

Unit cell a=4.7542 b=4.7542 c=4.7542 alpha=60.00 beta=60.00 gamma=60.00
Last column: nearest neighbours and their distance in Å.
Sites, in units of the cell vectors:
Tl 0.0000 0.0000 0.0000  4 Cl 2.91, 4 Fe 2.91
Fe 0.5000 0.5000 0.5000  4 Cl 2.91, 4 Fe 2.91
Fe 0.7500 0.7500 0.7500  4 Tl 2.91, 4 Fe 2.91
Cl 0.2500 0.2500 0.2500  4 Tl 2.91, 4 Fe 2.91